# 1
PmHg3Pd7 | GGA-PBE | relaxed

```
PmHg3Pd7
1.0
-3.886 -3.847 -0.032
5.293 -0.040 -5.100
5.850 -0.682 4.398
Pd Pm Hg
7 1 3
Cartesian
5.572 -0.361 -0.351 Pd
2.145 -1.299 -2.725 Pd
0.852 -1.629 -0.160 Pd
6.406 -2.940 -0.575 Pd
5.113 -3.271 1.990 Pd
4.820 -2.934 -2.993 Pd
2.437 -1.635 2.258 Pd
3.629 -2.285 -0.367 Pm
5.414 -0.179 -3.044 Hg
5.730 -0.543 2.342 Hg
-1.943 -1.924 -0.016 Hg
```

Summary:
E   -43.79 eV/f.u.
V   19.879 Å³/atom
SG   C2/m

---

# 2
KLiFe2Cl6 | GGA-PBE | relaxed

```
KLiFe2Cl6
1.0
6.753 0.012 -0.004
-3.366 5.828 -0.006
-3.381 -1.959 5.716
Cl Li Fe K
6 1 2 1
Cartesian
-1.792 4.512 3.776 Cl
2.706 0.015 0.859 Cl
0.450 2.022 3.814 Cl
-1.885 -0.632 3.804 Cl
2.113 3.565 0.873 Cl
-1.252 2.286 0.864 Cl
0.046 3.949 5.412 Li
0.051 0.013 5.209 Fe
0.063 3.900 2.134 Fe
-3.330 1.964 3.510 K
```

Summary:
Energy relative to the elements, uncorrected   -1.102 eV per atom
V   22.498 Å³/atom
SG   P1

---

# 3
Sm7TlRu2 | GGA-PBE | relaxed

```
Sm7TlRu2
1.0
-1.389 -3.841 -3.348
7.663 -3.121 0.400
-5.153 -3.102 5.696
Sm Tl Ru
7 1 2
Cartesian
1.444 -3.073 -1.239 Sm
4.076 -3.115 1.882 Sm
-1.905 -3.069 0.145 Sm
-0.323 -6.989 3.986 Sm
-1.566 -3.107 4.213 Sm
0.560 -5.031 1.374 Sm
3.025 -6.994 2.602 Sm
0.000 0.000 0.000 Tl
-1.982 -5.028 2.424 Ru
3.102 -5.035 0.323 Ru
```

Summary:
E   -54.52 eV/f.u.
V   33.193 Å³/atom
SG   Cmmm

---

# 4
Pa3SiB4 | GGA-PBE | relaxed

```
Pa3SiB4
1.0
-1.706 2.292 2.764
-3.548 -3.218 0.479
5.973 -2.548 2.940
B Si Pa
4 1 3
Cartesian
3.152 -1.710 3.363 B
-1.186 -0.633 2.652 B
1.905 -2.841 3.531 B
-2.433 -1.764 2.820 B
-0.853 1.146 1.382 Si
-1.774 -1.609 0.239 Pa
-0.492 -2.384 4.531 Pa
1.212 -1.090 1.651 Pa
```

Summary:
Energy relative to the elements, uncorrected   -0.257 eV per atom
V   15.328 Å³/atom
SG   Immm

---

# 5
La2InSi | GGA-PBE | relaxed

```
La2InSi
1.0
8.309 -0.011 -0.007
7.194 4.158 -0.007
7.194 1.924 3.686
Si La In
1 2 1
Cartesian
10.866 2.906 1.758 Si
5.018 1.342 0.812 La
0.520 0.139 0.084 La
17.639 4.718 2.854 In
```

Summary:
Energy relative to the elements, uncorrected   -0.230 eV per atom
V   31.959 Å³/atom
SG   R3m

---

# 6
Th4Se3S4 | GGA-PBE | relaxed

```
Th4Se3S4
1.0
-0.327 -3.910 0.892
5.745 0.876 5.950
-8.467 3.209 1.890
Se S Th
3 4 4
Cartesian
-1.129 0.332 1.042 Se
2.873 0.438 2.975 Se
-1.919 -0.156 7.690 Se
-0.376 -1.105 4.095 S
-4.890 0.943 2.340 S
1.841 -0.767 6.392 S
-2.673 1.281 4.636 S
4.268 -1.279 5.035 Th
1.150 -1.755 1.806 Th
-3.046 -1.107 3.104 Th
-0.003 1.283 5.627 Th
```

Summary:
Energy relative to the elements, uncorrected   -1.859 eV per atom
V   24.377 Å³/atom
SG   Immm

---

# 7
Cd2Ga2Sb | GGA-PBE | relaxed

```
Cd2Ga2Sb
1.0
-0.941 3.636 1.367
-3.291 0.001 -2.269
-5.914 -1.234 5.055
Cd Sb Ga
2 1 2
Cartesian
-2.884 1.202 0.662 Cd
-7.262 1.202 3.491 Cd
0.000 0.000 0.000 Sb
-4.486 2.111 2.986 Ga
-5.661 0.293 1.167 Ga
```

Summary:
Excess energy over the best structure of this formula in the dataset   51.2 meV/atom
Energy relative to the elements, uncorrected   0.132 eV per atom
V   23.499 Å³/atom
SG   I4/mmm

---

# 8
Ta6V5Tc | GGA-PBE | relaxed

```
Ta6V5Tc
1.0
-0.799 3.713 2.398
-6.243 -1.015 -0.510
3.648 -4.975 4.714
V Ta Tc
5 6 1
Cartesian
-3.038 -2.897 3.473 V
-3.122 -0.507 -0.255 V
-3.479 0.146 2.821 V
-0.356 0.620 3.129 V
0.085 -2.423 3.780 V
-1.875 -0.818 4.848 Ta
-4.640 -1.966 1.498 Ta
-5.085 1.095 0.816 Ta
1.245 -0.311 5.103 Ta
-1.958 1.603 1.071 Ta
-1.519 -1.459 1.753 Ta
0.000 0.000 0.000 Tc
```

Summary:
E   -128.02 eV/f.u.
V   15.962 Å³/atom
SG   Immm